# 1
# Tm2Ag2N (PBE, optimized geometry)
data_Tm2Ag2N
_chemical_formula_sum 'Tm4 Ag4 N2'
_symmetry_space_group_name_H-M 'P 1'
_symmetry_Int_Tables_number 1
_cell_length_a 3.7811
_cell_length_b 3.7811
_cell_length_c 17.3884
_cell_angle_alpha 90.00
_cell_angle_beta 90.00
_cell_angle_gamma 120.00
loop_
_symmetry_equiv_pos_as_xyz
'x,y,z'
loop_
_atom_site_label
_atom_site_fract_x
_atom_site_fract_y
_atom_site_fract_z
_atom_site_occupancy
Tm1 0.0000 0.0000 0.0000 1
Tm2 0.0000 0.0000 0.5000 1
Tm3 0.3333 0.6667 0.2500 1
Tm4 0.6667 0.3333 0.7500 1
Ag1 0.3333 0.6667 0.6140 1
Ag2 0.3333 0.6667 0.8860 1
Ag3 0.6667 0.3333 0.1140 1
Ag4 0.6667 0.3333 0.3860 1
N1 0.0000 0.0000 0.2500 1
N2 0.0000 0.0000 0.7500 1
# Magnetization in μB/atom: 0.00
# Electronic total energy in eV per atom: -4.92
# Crystal system: hexagonal


# 2
# AlZnCuTc (PBE, optimized geometry)
data_AlZnCuTc
_chemical_formula_sum 'Al1 Zn1 Cu1 Tc1'
_symmetry_space_group_name_H-M 'P 1'
_symmetry_Int_Tables_number 1
_cell_length_a 4.2626
_cell_length_b 4.2626
_cell_length_c 4.2626
_cell_angle_alpha 60.00
_cell_angle_beta 60.00
_cell_angle_gamma 60.00
loop_
_symmetry_equiv_pos_as_xyz
'x,y,z'
loop_
_atom_site_label
_atom_site_fract_x
_atom_site_fract_y
_atom_site_fract_z
_atom_site_occupancy
Al1 0.0000 0.0000 0.0000 1
Zn1 0.7500 0.7500 0.7500 1
Cu1 0.2500 0.2500 0.2500 1
Tc1 0.5000 0.5000 0.5000 1
# Polymorph energy (0 for the lowest one) in meV/atom: 173
# Magnetization in μB/atom: 0.01
# Crystal system: cubic


# 3
# Ta4ZnGaN2 (PBE, optimized geometry)
data_Ta4ZnGaN2
_chemical_formula_sum 'Ta4 Zn1 Ga1 N2'
_symmetry_space_group_name_H-M 'P 1'
_symmetry_Int_Tables_number 1
_cell_length_a 2.9760
_cell_length_b 2.9760
_cell_length_c 14.4602
_cell_angle_alpha 90.00
_cell_angle_beta 90.00
_cell_angle_gamma 120.00
loop_
_symmetry_equiv_pos_as_xyz
'x,y,z'
loop_
_atom_site_label
_atom_site_fract_x
_atom_site_fract_y
_atom_site_fract_z
_atom_site_occupancy
Ta1 0.0000 0.0000 0.1541 1
Ta2 0.0000 0.0000 0.8459 1
Ta3 0.3333 0.6667 0.3444 1
Ta4 0.3333 0.6667 0.6556 1
Zn1 0.0000 0.0000 0.5000 1
Ga1 0.3333 0.6667 0.0000 1
N1 0.6667 0.3333 0.2493 1
N2 0.6667 0.3333 0.7507 1
# Magnetization in μB/atom: 0.01
# Electronic total energy in eV per atom: -9.09
# Crystal system: hexagonal


# 4
# PmZr (PBE, optimized geometry)
data_PmZr
_chemical_formula_sum 'Pm2 Zr2'
_symmetry_space_group_name_H-M 'P 1'
_symmetry_Int_Tables_number 1
_cell_length_a 5.4404
_cell_length_b 3.3876
_cell_length_c 6.1035
_cell_angle_alpha 90.00
_cell_angle_beta 90.00
_cell_angle_gamma 90.00
loop_
_symmetry_equiv_pos_as_xyz
'x,y,z'
loop_
_atom_site_label
_atom_site_fract_x
_atom_site_fract_y
_atom_site_fract_z
_atom_site_occupancy
Pm1 0.2500 0.0000 0.1621 1
Pm2 0.7500 0.0000 0.8379 1
Zr1 0.2500 0.5000 0.6284 1
Zr2 0.7500 0.5000 0.3716 1
# Polymorph energy (0 for the lowest one) in meV/atom: 61
# DFT formation energy in eV/atom: 0.142
# Magnetization in μB/atom: 0.00
# Crystal system: orthorhombic


Q: magnetization of number 1 (Tm2Ag2N)?
A: 0.00 μB/atom


Copy entry 1 word for word.
# Tm2Ag2N (PBE, optimized geometry)
data_Tm2Ag2N
_chemical_formula_sum 'Tm4 Ag4 N2'
_symmetry_space_group_name_H-M 'P 1'
_symmetry_Int_Tables_number 1
_cell_length_a 3.7811
_cell_length_b 3.7811
_cell_length_c 17.3884
_cell_angle_alpha 90.00
_cell_angle_beta 90.00
_cell_angle_gamma 120.00
loop_
_symmetry_equiv_pos_as_xyz
'x,y,z'
loop_
_atom_site_label
_atom_site_fract_x
_atom_site_fract_y
_atom_site_fract_z
_atom_site_occupancy
Tm1 0.0000 0.0000 0.0000 1
Tm2 0.0000 0.0000 0.5000 1
Tm3 0.3333 0.6667 0.2500 1
Tm4 0.6667 0.3333 0.7500 1
Ag1 0.3333 0.6667 0.6140 1
Ag2 0.3333 0.6667 0.8860 1
Ag3 0.6667 0.3333 0.1140 1
Ag4 0.6667 0.3333 0.3860 1
N1 0.0000 0.0000 0.2500 1
N2 0.0000 0.0000 0.7500 1
# Magnetization in μB/atom: 0.00
# Electronic total energy in eV per atom: -4.92
# Crystal system: hexagonal


Please write out number 1 again, unchanged.
# Tm2Ag2N (PBE, optimized geometry)
data_Tm2Ag2N
_chemical_formula_sum 'Tm4 Ag4 N2'
_symmetry_space_group_name_H-M 'P 1'
_symmetry_Int_Tables_number 1
_cell_length_a 3.7811
_cell_length_b 3.7811
_cell_length_c 17.3884
_cell_angle_alpha 90.00
_cell_angle_beta 90.00
_cell_angle_gamma 120.00
loop_
_symmetry_equiv_pos_as_xyz
'x,y,z'
loop_
_atom_site_label
_atom_site_fract_x
_atom_site_fract_y
_atom_site_fract_z
_atom_site_occupancy
Tm1 0.0000 0.0000 0.0000 1
Tm2 0.0000 0.0000 0.5000 1
Tm3 0.3333 0.6667 0.2500 1
Tm4 0.6667 0.3333 0.7500 1
Ag1 0.3333 0.6667 0.6140 1
Ag2 0.3333 0.6667 0.8860 1
Ag3 0.6667 0.3333 0.1140 1
Ag4 0.6667 0.3333 0.3860 1
N1 0.0000 0.0000 0.2500 1
N2 0.0000 0.0000 0.7500 1
# Magnetization in μB/atom: 0.00
# Electronic total energy in eV per atom: -4.92
# Crystal system: hexagonal


Q: Look up the magnetization of the fourth one.
A: 0.00 μB/atom